DFT (GGA-PBE) results for a relaxed structure of TlAsIr2.

Cell lengths 3.024, 5.179, 4.513 Å; angles 90.00, 90.00, 90.00 degrees
Sites, in units of the cell vectors:
Ir 0.500 0.500 0.000
Ir 0.000 0.000 0.000
Tl 0.500 0.000 0.500
As 0.000 0.500 0.500

Properties
The volume comes out at 71 Å³ per cell. The density of states at the Fermi level comes out at 3.4 states/eV per cell. Its distance to the lowest polymorph of the same formula is 385 meV/atom.